Compound: Li2NiP4O12
Source: the Alexandria database
Functional: GGA+U
Structure: optimized geometry

Uncorrected energy ... -0.49448 Ry/atom
DOS at the Fermi energy ... 0.0000 states/eV per atom
Mass density ... 2.62 g cm⁻³

```
data_Li2NiP4O12
_space_group_name_H-M_alt 'C 1 2/c 1'
_space_group_IT_number 15
_space_group_name_Hall '-C 2yc'
_cell_length_a 9.266
_cell_length_b 14.307
_cell_length_c 7.666
_cell_angle_alpha 90.00
_cell_angle_beta 103.91
_cell_angle_gamma 90.00
loop_
_atom_site_label
_atom_site_fract_x
_atom_site_fract_y
_atom_site_fract_z
Li1 0.168 0.147 0.256
Ni1 0.000 0.373 0.750
P1 0.096 0.175 0.622
P2 0.137 0.429 0.175
O1 0.000 0.130 0.750
O2 0.000 0.392 0.250
O3 0.020 0.160 0.428
O4 0.143 0.375 0.009
O5 0.143 0.466 0.673
O6 0.146 0.272 0.687
O7 0.232 0.104 0.658
```